# 1
# YAlTe2

A relaxed YAlTe2 crystal (PBEsol, the Alexandria database).

Unit cell a=4.2525 b=6.1245 c=6.1245 alpha=39.75 beta=90.00 gamma=90.00
With the nearest neighbours (Å) after each atom.
Element x y z (fractional)
Y 0.0000 0.0000 0.0000  2 Al 3.06, 7 Te 3.11-3.38
Al 0.5000 0.8091 0.8091  5 Te 2.67-2.98
Te 0.0000 0.2936 0.2936  4 Al 2.98, 2 Y 3.16
Te 0.5000 0.5775 0.5775  1 Al 2.67

## Properties
Final energy, eV per cell: -21.83
Space-group type: No. 38
Raw formation energy, eV/atom: -0.965
Calculated volume, Å³ per cell: 102

***

# 2
# AlZn3Te

A relaxed AlZn3Te crystal (PBEsol, the Alexandria database).

Unit cell a=4.8277 b=4.8277 c=4.8277 alpha=90.00 beta=90.00 gamma=90.00
With the nearest neighbours (Å) after each atom.
Element x y z (fractional)
Al 0.0000 0.0000 0.0000  6 Zn 2.41
Zn 0.0000 0.0000 0.5000  2 Al 2.41
Zn 0.0000 0.5000 0.0000  2 Al 2.41
Zn 0.5000 0.0000 0.0000  2 Al 2.41
Te 0.5000 0.5000 0.5000  12 Zn 3.41

## Properties
Final energy, eV per cell: -10.10
Space-group type: No. 221
Raw formation energy, eV/atom: 0.453
Calculated volume, Å³ per cell: 113

***

# 3
# AlZn2Te

A relaxed AlZn2Te crystal (PBEsol, the Alexandria database).

Unit cell a=4.8377 b=4.8377 c=4.8377 alpha=60.00 beta=60.00 gamma=60.00
With the nearest neighbours (Å) after each atom.
Element x y z (fractional)
Al 0.0000 0.0000 0.0000  4 Te 2.96, 4 Zn 2.96
Zn 0.2500 0.2500 0.2500  4 Al 2.96, 4 Zn 2.96
Zn 0.5000 0.5000 0.5000  4 Te 2.96, 4 Zn 2.96
Te 0.7500 0.7500 0.7500  4 Al 2.96, 4 Zn 2.96

## Properties
Final energy, eV per cell: -9.71
Space-group type: No. 216
Raw formation energy, eV/atom: 0.267
Calculated volume, Å³ per cell: 80
Polymorph energy (0 for the lowest one), meV/atom: 25

***

# 4
# Al2ZnTe

A relaxed Al2ZnTe crystal (PBEsol, the Alexandria database).

Unit cell a=4.8382 b=4.8382 c=4.8382 alpha=60.00 beta=60.00 gamma=60.00
With the nearest neighbours (Å) after each atom.
Element x y z (fractional)
Al 0.0000 0.0000 0.0000  4 Al 2.96, 4 Zn 2.96
Al 0.2500 0.2500 0.2500  4 Te 2.96, 4 Al 2.96
Zn 0.7500 0.7500 0.7500  4 Te 2.96, 4 Al 2.96
Te 0.5000 0.5000 0.5000  4 Al 2.96, 4 Zn 2.96

## Properties
Final energy, eV per cell: -12.15
Space-group type: No. 216
Raw formation energy, eV/atom: 0.285
Calculated volume, Å³ per cell: 80

***

# 5
# Al3ZnTe

A relaxed Al3ZnTe crystal (PBEsol, the Alexandria database).

Unit cell a=4.7710 b=4.7710 c=4.7710 alpha=90.00 beta=90.00 gamma=90.00
With the nearest neighbours (Å) after each atom.
Element x y z (fractional)
Al 0.0000 0.0000 0.5000  2 Zn 2.39
Al 0.0000 0.5000 0.0000  2 Zn 2.39
Al 0.5000 0.0000 0.0000  2 Zn 2.39
Zn 0.0000 0.0000 0.0000  6 Al 2.39
Te 0.5000 0.5000 0.5000  12 Al 3.37

## Properties
Final energy, eV per cell: -16.06
Space-group type: No. 221
Raw formation energy, eV/atom: 0.264
Calculated volume, Å³ per cell: 109

***

# 6
# AlZn2Te

A relaxed AlZn2Te crystal (PBEsol, the Alexandria database).

Unit cell a=6.6345 b=6.6345 c=6.6345 alpha=121.43 beta=121.43 gamma=87.54
With the nearest neighbours (Å) after each atom.
Element x y z (fractional)
Al 0.0000 0.0000 0.0000  4 Zn 2.54
Al 0.7500 0.2500 0.5000  4 Zn 2.54
Zn 0.1132 0.6250 0.9882  2 Al 2.54, 2 Te 2.64
Zn 0.3750 0.3632 0.4882  2 Al 2.54, 2 Te 2.64
Zn 0.6368 0.1250 0.0118  2 Al 2.54, 2 Te 2.64
Zn 0.8750 0.8868 0.5118  2 Al 2.54, 2 Te 2.64
Te 0.2500 0.7500 0.5000  4 Zn 2.64
Te 0.5000 0.5000 0.0000  4 Zn 2.64

## Properties
Final energy, eV per cell: -19.62
Space-group type: No. 122
Raw formation energy, eV/atom: 0.242
Calculated volume, Å³ per cell: 202
Polymorph energy (0 for the lowest one), meV/atom: 0

***

# 7
# Al2ZnTe4

A relaxed Al2ZnTe4 crystal (PBEsol, the Alexandria database).

Unit cell a=7.2442 b=7.2442 c=7.2442 alpha=131.41 beta=131.41 gamma=71.16
With the nearest neighbours (Å) after each atom.
Element x y z (fractional)
Al 0.0000 0.0000 0.0000  4 Te 2.64
Al 0.7500 0.2500 0.5000  4 Te 2.64
Zn 0.5000 0.5000 0.0000  4 Te 2.65
Te 0.1328 0.6343 0.0358  2 Al 2.64, 1 Zn 2.65
Te 0.3657 0.4016 0.4985  2 Al 2.64, 1 Zn 2.65
Te 0.5984 0.0969 0.9642  2 Al 2.64, 1 Zn 2.65
Te 0.9031 0.8672 0.5015  2 Al 2.64, 1 Zn 2.65

## Properties
Final energy, eV per cell: -26.68
Space-group type: No. 82
Raw formation energy, eV/atom: -0.402
Calculated volume, Å³ per cell: 209

***

# 8
# Zr2AlTe

A relaxed Zr2AlTe crystal (PBEsol, the Alexandria database).

Unit cell a=5.0087 b=5.0087 c=3.4160 alpha=95.41 beta=95.41 gamma=102.60
With the nearest neighbours (Å) after each atom.
Element x y z (fractional)
Zr 0.0000 0.5000 0.0000  4 Te 2.90-3.16, 4 Al 2.90-3.16, 2 Zr 3.13
Zr 0.5000 0.0000 0.0000  4 Te 2.90-3.16, 4 Al 2.90-3.16, 2 Zr 3.13
Al 0.0000 0.0000 0.5000  8 Zr 2.90-3.16, 2 Te 3.13
Te 0.5000 0.5000 0.5000  8 Zr 2.90-3.16, 2 Al 3.13

## Properties
Final energy, eV per cell: -27.58
Space-group type: No. 12
Raw formation energy, eV/atom: -0.446
Calculated volume, Å³ per cell: 83
Polymorph energy (0 for the lowest one), meV/atom: 0

***

# 9
# Zr3AlTe

A relaxed Zr3AlTe crystal (PBEsol, the Alexandria database).

Unit cell a=4.9613 b=4.9613 c=4.9613 alpha=90.00 beta=90.00 gamma=90.00
With the nearest neighbours (Å) after each atom.
Element x y z (fractional)
Zr 0.0000 0.0000 0.5000  2 Al 2.48
Zr 0.0000 0.5000 0.0000  2 Al 2.48
Zr 0.5000 0.0000 0.0000  2 Al 2.48
Al 0.0000 0.0000 0.0000  6 Zr 2.48
Te 0.5000 0.5000 0.5000  12 Zr 3.51

## Properties
Final energy, eV per cell: -32.71
Space-group type: No. 221
Raw formation energy, eV/atom: 0.436
Calculated volume, Å³ per cell: 122

***

# 10
# Zr2AlTe

A relaxed Zr2AlTe crystal (PBEsol, the Alexandria database).

Unit cell a=7.2084 b=7.2084 c=7.2084 alpha=31.27 beta=31.27 gamma=31.27
With the nearest neighbours (Å) after each atom.
Element x y z (fractional)
Zr 0.2421 0.2421 0.2421  3 Al 2.73, 3 Te 2.92
Zr 0.7579 0.7579 0.7579  3 Al 2.73, 3 Te 2.92
Al 0.5000 0.5000 0.5000  6 Zr 2.73
Te 0.0000 0.0000 0.0000  6 Zr 2.92

## Properties
Final energy, eV per cell: -27.45
Space-group type: No. 166
Raw formation energy, eV/atom: -0.413
Calculated volume, Å³ per cell: 90
Polymorph energy (0 for the lowest one), meV/atom: 33

***

# 11
# Zr2AlTe

A relaxed Zr2AlTe crystal (PBEsol, the Alexandria database).

Unit cell a=3.3946 b=3.8508 c=6.2760 alpha=90.00 beta=90.00 gamma=90.00
With the nearest neighbours (Å) after each atom.
Element x y z (fractional)
Zr 0.0000 0.0000 0.2420  4 Al 2.98, 4 Te 3.03, 2 Zr 3.04-3.24
Zr 0.0000 0.0000 0.7580  4 Al 2.98, 4 Te 3.03, 2 Zr 3.04-3.24
Al 0.5000 0.5000 0.0000  8 Zr 2.98, 2 Te 3.14
Te 0.5000 0.5000 0.5000  8 Zr 3.03, 2 Al 3.14, 2 Te 3.39

## Properties
Final energy, eV per cell: -27.54
Space-group type: No. 47
Raw formation energy, eV/atom: -0.436
Calculated volume, Å³ per cell: 82
Polymorph energy (0 for the lowest one), meV/atom: 10

***

# 12
# ZrAlTe2

A relaxed ZrAlTe2 crystal (PBEsol, the Alexandria database).

Unit cell a=9.7754 b=9.7754 c=9.7754 alpha=21.81 beta=21.81 gamma=21.81
With the nearest neighbours (Å) after each atom.
Element x y z (fractional)
Zr 0.0000 0.0000 0.0000  6 Te 2.85
Al 0.5000 0.5000 0.5000  2 Te 2.88
Te 0.3995 0.3995 0.3995  3 Zr 2.85, 1 Al 2.88
Te 0.6005 0.6005 0.6005  3 Zr 2.85, 1 Al 2.88

## Properties
Final energy, eV per cell: -21.56
Space-group type: No. 166
Raw formation energy, eV/atom: -0.331
Calculated volume, Å³ per cell: 113